--- 1 ---
## TaVCd (PBE)

Data for an optimized crystal structure of TaVCd.

POSCAR file:
```
TaVCd
1.0
6.996 0.000 -0.001
0.000 3.207 0.000
-3.376 0.000 9.503
Cd V Ta
4 4 4
Direct
0.108 0.500 0.662
0.265 0.500 0.980
0.265 0.000 0.480
0.108 0.000 0.162
0.794 0.500 0.962
0.794 0.000 0.462
0.911 0.500 0.318
0.911 0.000 0.818
0.497 0.000 0.822
0.639 0.000 0.145
0.639 0.500 0.645
0.497 0.500 0.322
```

Output
Symmetry ... Cm
Mass density ... 10.73 Mg/m³
Total magnetic moment ... 0.000 μB/f.u.


--- 2 ---
## TaVCd (PBE)

Data for an optimized crystal structure of TaVCd.

POSCAR file:
```
TaVCd
1.0
3.373 0.000 0.000
0.000 14.009 0.000
0.000 0.000 4.424
V Cd Ta
4 4 4
Direct
0.000 0.428 0.250
0.500 0.072 0.750
0.500 0.928 0.250
0.000 0.572 0.750
0.000 0.758 0.250
0.500 0.742 0.750
0.500 0.258 0.250
0.000 0.242 0.750
0.000 0.076 0.250
0.500 0.424 0.750
0.500 0.576 0.250
0.000 0.924 0.750
```

Output
Symmetry ... Cmcm
Mass density ... 10.94 Mg/m³
Total magnetic moment ... 0.000 μB/f.u.


--- 3 ---
## TaVCd (PBE)

Data for an optimized crystal structure of TaVCd.

POSCAR file:
```
TaVCd
1.0
2.825 0.001 -0.002
1.263 5.362 0.000
0.978 1.349 6.988
Cd Ta V
2 2 2
Direct
0.000 0.500 0.000
0.500 0.000 0.000
0.674 0.171 0.348
0.326 0.829 0.652
0.140 0.650 0.360
0.860 0.350 0.640
```

Output
Symmetry ... P-1
Mass density ... 10.80 Mg/m³
Total magnetic moment ... 0.000 μB/f.u.


Which of them is least stable? Easy: 3.